This record from Alexandria describes a geometry-optimized RuWO2 structure. The functional is PBE+U.

Structure (POSCAR):
```
RuWO2
1.0
3.2239 -0.4790 2.2360
2.1537 3.1399 1.0608
-0.0033 1.2199 3.7596
W O Ru
1 2 1
Direct
0.5000 0.5000 0.5000
0.2500 0.2500 0.2500
0.7500 0.7500 0.7500
0.0000 0.0000 0.0000
```

The value obtained for the total energy is -6.311 eV/atom. The total magnetization comes out at 0.00 μB per cell. The density comes out at 12.05 g cm⁻³. Its crystal system is cubic. For the density of states at the Fermi level, the calculation gives 4.76 states/eV/cell.